(1)
Sr2TlSnH: optimized geometry, PBE.

## Properties
**Space-group type**: No. 123
**ΔE to the lowest computed polymorph**: 34 meV per atom

a b c (Å): 5.4070 5.4070 4.6333
angles (deg): 90.00 90.00 90.00
Last column: nearest neighbours and their distance in Å.
Fractional positions:
Tl (0.5000, 0.5000, 0.5000)  8 Sr 3.56, 4 Sn 3.82
Sr (0.0000, 0.5000, 0.0000)  2 H 2.70
Sr (0.5000, 0.0000, 0.0000)  2 H 2.70
H (0.0000, 0.0000, 0.0000)  2 Sn 2.32
Sn (0.0000, 0.0000, 0.5000)  2 H 2.32

***

(2)
CoSbAs2: optimized geometry, PBE.

## Properties
**ΔE_f (raw)**: 519 meV/atom
**Space-group type**: No. 216

a b c (Å): 4.7026 4.7026 4.7026
angles (deg): 60.00 60.00 60.00
Last column: nearest neighbours and their distance in Å.
Fractional positions:
As (0.2500, 0.2500, 0.2500)  4 As 2.88, 4 Co 2.88
As (0.0000, 0.0000, 0.0000)  4 Sb 2.88, 4 As 2.88
Co (0.5000, 0.5000, 0.5000)  4 As 2.88, 4 Sb 2.88
Sb (0.7500, 0.7500, 0.7500)  4 Co 2.88, 4 As 2.88

***

(3)
Pr7Sm6Dy16: optimized geometry, PBE.

## Properties
**Energy of formation**: 243.1 meV per atom
**Space-group type**: No. 225

a b c (Å): 11.2989 11.2989 11.2989
angles (deg): 60.00 60.00 60.00
Last column: nearest neighbours and their distance in Å.
Fractional positions:
Sm (0.2599, 0.7401, 0.7401)  8 Dy 3.59-3.69, 4 Pr 4.00
Sm (0.2599, 0.2599, 0.7401)  8 Dy 3.59-3.69, 4 Pr 4.00
Sm (0.7401, 0.2599, 0.7401)  8 Dy 3.59-3.69, 4 Pr 4.00
Sm (0.7401, 0.7401, 0.2599)  8 Dy 3.59-3.69, 4 Pr 4.00
Sm (0.2599, 0.7401, 0.2599)  8 Dy 3.59-3.69, 4 Pr 4.00
Sm (0.7401, 0.2599, 0.2599)  8 Dy 3.59-3.69, 4 Pr 4.00
Pr (0.0000, 0.0000, 0.0000)  8 Dy 3.58
Pr (0.5000, 0.0000, 0.5000)  8 Dy 3.29-3.42
Pr (0.5000, 0.0000, 0.0000)  8 Dy 3.29-3.42
Pr (0.0000, 0.5000, 0.5000)  8 Dy 3.29-3.42
Pr (0.0000, 0.5000, 0.0000)  8 Dy 3.29-3.42
Pr (0.0000, 0.0000, 0.5000)  8 Dy 3.29-3.42
Pr (0.5000, 0.5000, 0.0000)  8 Dy 3.29-3.42
Dy (0.6507, 0.6507, 0.6507)  3 Pr 3.29, 3 Dy 3.55
Dy (0.1295, 0.1295, 0.1295)  4 Pr 3.42-3.58, 3 Dy 3.55, 3 Sm 3.59
Dy (0.1295, 0.6115, 0.1295)  4 Pr 3.42-3.58, 3 Dy 3.55, 3 Sm 3.59
Dy (0.1295, 0.1295, 0.6115)  4 Pr 3.42-3.58, 3 Dy 3.55, 3 Sm 3.59
Dy (0.8705, 0.3885, 0.8705)  4 Pr 3.42-3.58, 3 Dy 3.55, 3 Sm 3.59
Dy (0.3493, 0.3493, 0.3493)  3 Pr 3.29, 3 Dy 3.55
Dy (0.8705, 0.8705, 0.8705)  4 Pr 3.42-3.58, 3 Dy 3.55, 3 Sm 3.59
Dy (0.8705, 0.8705, 0.3885)  4 Pr 3.42-3.58, 3 Dy 3.55, 3 Sm 3.59
Dy (0.3493, 0.3493, 0.9520)  3 Pr 3.29, 3 Dy 3.55
Dy (0.6115, 0.1295, 0.1295)  4 Pr 3.42-3.58, 3 Dy 3.55, 3 Sm 3.59
Dy (0.3493, 0.9520, 0.3493)  3 Pr 3.29, 3 Dy 3.55
Dy (0.6507, 0.0480, 0.6507)  3 Pr 3.29, 3 Dy 3.55
Dy (0.9520, 0.3493, 0.3493)  3 Pr 3.29, 3 Dy 3.55
Dy (0.6507, 0.6507, 0.0480)  3 Pr 3.29, 3 Dy 3.55
Dy (0.0480, 0.6507, 0.6507)  3 Pr 3.29, 3 Dy 3.55
Dy (0.3885, 0.8705, 0.8705)  4 Pr 3.42-3.58, 3 Dy 3.55, 3 Sm 3.59

***

(4)
NaGaN2F: optimized geometry, PBE.

## Properties
**ΔE_f (raw)**: 1052 meV/atom
**Space-group type**: No. 123
**ΔE to the lowest computed polymorph**: 1028 meV per atom

a b c (Å): 4.6472 4.6472 4.1660
angles (deg): 90.00 90.00 90.00
Last column: nearest neighbours and their distance in Å.
Fractional positions:
Na (0.0000, 0.0000, 0.0000)  2 F 2.08, 4 N 2.32
Ga (0.5000, 0.5000, 0.5000)  8 N 3.12, 4 F 3.29
N (0.0000, 0.5000, 0.0000)  2 Na 2.32
N (0.5000, 0.0000, 0.0000)  2 Na 2.32
F (0.0000, 0.0000, 0.5000)  2 Na 2.08

***

(5)
ErPdRhPb: optimized geometry, PBE.

## Properties
**Energy of formation**: -614.7 meV per atom
**Space-group type**: No. 216

a b c (Å): 4.7908 4.7908 4.7908
angles (deg): 60.00 60.00 60.00
Last column: nearest neighbours and their distance in Å.
Fractional positions:
Er (0.0000, 0.0000, 0.0000)  4 Pd 2.93, 4 Rh 2.93
Pd (0.2500, 0.2500, 0.2500)  4 Pb 2.93, 4 Er 2.93
Rh (0.7500, 0.7500, 0.7500)  4 Er 2.93, 4 Pb 2.93
Pb (0.5000, 0.5000, 0.5000)  4 Rh 2.93, 4 Pd 2.93

***

(6)
SrTcAg: optimized geometry, PBE.

## Properties
**Energy of formation**: 996.8 meV per atom
**Space-group type**: No. 216
**ΔE to the lowest computed polymorph**: 764 meV per atom

a b c (Å): 4.9309 4.9309 4.9309
angles (deg): 60.00 60.00 60.00
Last column: nearest neighbours and their distance in Å.
Fractional positions:
Tc (0.5000, 0.5000, 0.5000)  4 Ag 3.02
Ag (0.7500, 0.7500, 0.7500)  4 Tc 3.02, 4 Sr 3.02
Sr (0.0000, 0.0000, 0.0000)  4 Ag 3.02